Below is an optimized crystal structure of ThCoSi2, with properties calculated at the PBEsol level.

CIF file:
```
data_ThCoSi2
_cell_length_a 4.074
_cell_length_b 16.313
_cell_length_c 4.050
_cell_angle_alpha 90.00
_cell_angle_beta 90.00
_cell_angle_gamma 90.00
_space_group_name_H-M_alt 'C m c m'
_space_group_IT_number 63
_space_group_name_Hall '-C 2c 2'
loop_
_atom_site_label
_atom_site_fract_x
_atom_site_fract_y
_atom_site_fract_z
Th1 0.000 0.108 0.250
Co1 0.000 0.321 0.250
Si1 0.000 0.250 0.750
Si2 0.000 0.459 0.250
```

Crystal system: orthorhombic



Below is an optimized crystal structure of Ti2Co3Si, with properties calculated at the PBEsol level.

CIF file:
```
data_Ti2Co3Si
_cell_length_a 4.7585
_cell_length_b 4.7585
_cell_length_c 7.2742
_cell_angle_alpha 90.00
_cell_angle_beta 90.00
_cell_angle_gamma 120.00
_space_group_name_H-M_alt 'P 63/m m c'
_space_group_IT_number 194
_space_group_name_Hall '-P 6c 2c'
loop_
_atom_site_label
_atom_site_fract_x
_atom_site_fract_y
_atom_site_fract_z
Ti1 0.3333 0.6667 0.0612
Co1 0.1713 0.3426 0.7500
Si1 0.0000 0.0000 0.0000
```

Crystal system: hexagonal



| no. | electronic total energy (eV per atom) | total moment (μB per formula unit) |
| --- | --- | --- |
| 1 | -7.73 | 0.000 |
| 2 | -8.27 | 0.000 |